{"formula": "Cs3Pu2FeO9", "functional": "PBE+U", "state": "relaxed", "sg": "P-3m1", "total_energy_ev_per_atom": -7.4343, "magmom_total_mub_per_fu": 9.00, "cell": [[6.053, 0.000, 0.000], [-3.026, 5.242, 0.000], [0.000, 0.000, 7.437]], "species": ["Cs", "Cs", "Cs", "Pu", "Pu", "Fe", "O", "O", "O", "O", "O", "O", "O", "O", "O"], "frac_coords": [[0.000, 0.000, 0.000], [0.333, 0.667, 0.663], [0.667, 0.333, 0.337], [0.333, 0.667, 0.175], [0.667, 0.333, 0.825], [0.000, 0.000, 0.500], [0.000, 0.500, 0.000], [0.169, 0.338, 0.331], [0.169, 0.831, 0.331], [0.338, 0.169, 0.669], [0.500, 0.000, 0.000], [0.500, 0.500, 0.000], [0.662, 0.831, 0.331], [0.831, 0.169, 0.669], [0.831, 0.662, 0.669]]}